Here is a geometry-optimized Er4FePd structure from Alexandria. Energies are from PBE.

Computed properties:
raw total energy	-67.74	eV per cell
DOS at the Fermi energy	12.1	states/eV/cell
symmetry	No. 15
energy of formation from the pure elements	-0.327	eV/atom

a b c (Å): 7.731 7.731 6.093
angles (deg): 107.29 107.29 110.84
Sites, in units of the cell vectors:
Er 0.054 0.708 0.910
Er 0.226 0.355 0.708
Er 0.292 0.946 0.590
Er 0.355 0.226 0.208
Er 0.645 0.774 0.792
Er 0.708 0.054 0.410
Er 0.774 0.645 0.292
Er 0.946 0.292 0.090
Fe 0.002 0.998 0.250
Fe 0.998 0.002 0.750
Pd 0.364 0.636 0.250
Pd 0.636 0.364 0.750